# ZrScGaRe | Alexandria | PBE | optimized geometry
data_ZrScGaRe
_chemical_formula_sum 'Zr1 Sc1 Ga1 Re1'
_cell_length_a 4.688
_cell_length_b 4.688
_cell_length_c 4.688
_cell_angle_alpha 60.00
_cell_angle_beta 60.00
_cell_angle_gamma 60.00
_space_group_name_H-M_alt 'P 1'
_space_group_IT_number 1
loop_
_space_group_symop_operation_xyz
'x,y,z'
loop_
_atom_site_label
_atom_site_type_symbol
_atom_site_fract_x
_atom_site_fract_y
_atom_site_fract_z
Zr1 Zr 0.000 0.000 0.000
Sc1 Sc 0.500 0.500 0.500
Ga1 Ga 0.750 0.750 0.750
Re1 Re 0.250 0.250 0.250
# Crystal system: cubic
# Space-group type: F-43m, No. 216
# Energy (eV per atom): -7.94
# D(E_F) (states/eV per cell): 1.963
# Calculated density (g/cm3): 8.94
# Formation energy (eV/atom): -0.35

=====

# YMg3Pd | Alexandria | PBE | optimized geometry
data_YMg3Pd
_chemical_formula_sum 'Y1 Mg3 Pd1'
_cell_length_a 5.833
_cell_length_b 5.833
_cell_length_c 5.833
_cell_angle_alpha 90.00
_cell_angle_beta 90.00
_cell_angle_gamma 90.00
_space_group_name_H-M_alt 'P 1'
_space_group_IT_number 1
loop_
_space_group_symop_operation_xyz
'x,y,z'
loop_
_atom_site_label
_atom_site_type_symbol
_atom_site_fract_x
_atom_site_fract_y
_atom_site_fract_z
Y1 Y 0.000 0.000 0.000
Mg1 Mg 0.000 0.000 0.500
Mg2 Mg 0.000 0.500 0.000
Mg3 Mg 0.500 0.000 0.000
Pd1 Pd 0.500 0.500 0.500
# Crystal system: cubic
# Space-group type: Pm-3m, No. 221
# Energy relative to the lowest polymorph listed for this composition (eV per formula unit): 8.61
# Energy (eV per atom): -1.97
# D(E_F) (states/eV per cell): 4.258
# Calculated density (g/cm3): 2.24
# Formation energy (eV/atom): 1.32

=====

# Ac2GaAs | Alexandria | PBE | optimized geometry
data_Ac2GaAs
_chemical_formula_sum 'Ac2 Ga1 As1'
_cell_length_a 3.965
_cell_length_b 3.965
_cell_length_c 7.544
_cell_angle_alpha 90.00
_cell_angle_beta 90.00
_cell_angle_gamma 90.00
_space_group_name_H-M_alt 'P 1'
_space_group_IT_number 1
loop_
_space_group_symop_operation_xyz
'x,y,z'
loop_
_atom_site_label
_atom_site_type_symbol
_atom_site_fract_x
_atom_site_fract_y
_atom_site_fract_z
Ac1 Ac 0.000 0.000 0.239
Ac2 Ac 0.000 0.000 0.761
Ga1 Ga 0.500 0.500 0.500
As1 As 0.500 0.500 0.000
# Crystal system: tetragonal
# Space-group type: P4/mmm, No. 123
# Energy relative to the lowest polymorph listed for this composition (eV per formula unit): 0.82
# Energy (eV per atom): -4.74
# D(E_F) (states/eV per cell): 1.990
# Calculated density (g/cm3): 8.38
# Formation energy (eV/atom): -0.77